First-principles (PBE with a Hubbard U) data for an optimized crystal structure of LaV3O9, as listed in Alexandria.

Geometry as extended XYZ:
```
26
Lattice="7.6279 -0.0773 0.0000 -2.0553 7.3462 0.0000 0.0000 0.0000 7.9032" Properties=species:S:1:pos:R:3 pbc="T T T"
La 3.4125 4.4513 0.0000
La 2.1601 2.8177 3.9516
V -0.4305 5.8524 0.2610
V 6.0030 1.4166 4.2126
V 5.7634 1.1040 7.6422
V -0.1908 6.1649 3.6906
V 1.3889 1.8117 0.0000
V 4.1837 5.4573 3.9516
O 1.8271 0.1454 7.4229
O 3.7455 7.1235 3.4713
O -0.3340 1.8021 0.4803
O 5.9066 5.4668 4.4319
O 1.8323 2.7537 6.5500
O 3.7403 4.5152 2.5984
O 2.1835 2.4845 1.3532
O 3.3891 4.7845 5.3048
O 1.0383 5.0360 3.8775
O 4.5342 2.2329 7.8291
O 4.5936 2.3104 4.0257
O 0.9789 4.9585 0.0741
O 2.2626 0.3786 4.2141
O 3.3100 6.8904 0.2625
O -0.2220 2.2833 3.6891
O 5.7945 4.9856 7.6407
O -0.6620 6.2780 1.9758
O 6.2345 0.9909 5.9274
```

**Symmetry**: C222_1
**Calculated total energy**: -201.422 eV/cell
**Magnetic moment**: 0.000 μB per cell